No. 1
DFT (PBE) results for crystalline TbPr2HoTm4 at its relaxed geometry.

Cell and atoms, written as POSCAR:
```
TbPr2HoTm4
1.0
9.324 -0.025 -1.762
-0.031 9.319 -1.757
-5.910 -5.907 8.325
Tm Tb Pr Ho
8 2 4 2
direct
0.249 0.251 0.495
0.751 0.749 0.995
0.253 0.745 0.499
0.755 0.247 0.001
0.747 0.255 0.501
0.249 0.251 0.005
0.245 0.753 0.999
0.751 0.749 0.505
0.000 0.500 0.500
0.000 0.500 0.000
0.500 0.000 0.000
0.500 0.500 0.000
0.500 0.000 0.500
0.000 0.000 0.500
0.500 0.500 0.500
0.000 0.000 0.000
```

Summary:
Formation enthalpy at 0 K in kJ/mol of atoms: 41.17
Mass density in Mg/m³: 8.046

---

No. 2
DFT (PBE) results for crystalline KTlTc2 at its relaxed geometry.

Cell and atoms, written as POSCAR:
```
KTlTc2
1.0
-1.417 -7.007 -1.781
4.333 -5.945 -0.397
-2.785 5.741 3.682
K Tl Tc
1 1 2
direct
0.795 0.295 0.500
0.516 0.516 0.000
0.043 0.043 0.000
0.145 0.645 0.500
```

Summary:
Energy above the most stable polymorph in this dataset in meV per atom: 388.7
Formation enthalpy at 0 K in kJ/mol of atoms: 84.29
Mass density in Mg/m³: 6.236

---

No. 3
DFT (PBE) results for crystalline Ca2La3Pt2 at its relaxed geometry.

Cell and atoms, written as POSCAR:
```
Ca2La3Pt2
1.0
-1.376 -0.806 3.683
-4.219 -5.394 -0.571
4.650 -7.173 2.354
La Ca Pt
3 2 2
direct
0.617 0.200 0.565
0.383 0.800 0.435
0.500 0.000 0.000
0.825 0.540 0.809
0.175 0.460 0.191
0.831 0.090 0.248
0.169 0.910 0.752
```

Summary:
Formation enthalpy at 0 K in kJ/mol of atoms: -68.48
Mass density in Mg/m³: 6.663

---

No. 4
DFT (PBE) results for crystalline Sr2CdP2N6 at its relaxed geometry.

Cell and atoms, written as POSCAR:
```
Sr2CdP2N6
1.0
-3.021 -4.447 -1.947
2.251 -5.255 0.112
-2.564 -4.103 4.956
P Sr N Cd
2 2 6 1
direct
0.419 0.419 0.742
0.581 0.581 0.258
0.203 0.203 0.390
0.797 0.797 0.610
0.737 0.737 0.267
0.260 0.737 0.267
0.737 0.260 0.267
0.263 0.263 0.733
0.263 0.740 0.733
0.740 0.263 0.733
0.000 0.000 0.000
```

Summary:
ΔE_f (raw) in eV per atom: -0.247
Mass density in Mg/m³: 4.177

---

No. 5
DFT (PBE) results for crystalline Tb3CoSb2 at its relaxed geometry.

Cell and atoms, written as POSCAR:
```
Tb3CoSb2
1.0
4.328 0.000 0.000
0.000 11.808 0.000
0.000 0.000 11.850
Co Sb Tb
4 8 12
direct
0.250 0.141 0.128
0.750 0.859 0.872
0.250 0.359 0.628
0.750 0.641 0.372
0.250 0.810 0.987
0.250 0.494 0.806
0.250 0.006 0.306
0.750 0.506 0.194
0.750 0.994 0.694
0.250 0.690 0.487
0.750 0.190 0.013
0.750 0.310 0.513
0.750 0.627 0.943
0.250 0.704 0.229
0.750 0.553 0.616
0.250 0.796 0.729
0.750 0.947 0.116
0.250 0.053 0.884
0.250 0.127 0.557
0.750 0.296 0.771
0.750 0.204 0.271
0.250 0.373 0.057
0.250 0.447 0.384
0.750 0.873 0.443
```

Summary:
ΔE_f (raw) in eV per atom: -0.823
Mass density in Mg/m³: 8.548

---

No. 6
DFT (PBE) results for crystalline Sm8Ir3SeI4 at its relaxed geometry.

Cell and atoms, written as POSCAR:
```
Sm8Ir3SeI4
1.0
-3.540 2.704 7.227
5.551 -5.704 4.854
3.764 5.540 -5.216
I Ir Sm Se
4 3 8 1
direct
0.000 0.000 0.500
0.500 0.000 0.500
0.000 0.000 0.000
0.500 0.000 0.000
0.500 0.500 0.500
0.000 0.500 0.500
0.500 0.500 0.000
0.761 0.314 0.053
0.293 0.314 0.053
0.239 0.686 0.947
0.761 0.314 0.521
0.707 0.686 0.947
0.239 0.686 0.479
0.728 0.683 0.456
0.272 0.317 0.544
0.000 0.500 0.000
```

Summary:
ΔE_f (raw) in eV per atom: -1.055
Mass density in Mg/m³: 7.938

---

No. 7
DFT (PBE) results for crystalline HgPHCl2 at its relaxed geometry.

Cell and atoms, written as POSCAR:
```
HgPHCl2
1.0
5.333 0.000 0.000
0.000 5.333 0.000
0.000 0.000 5.110
P Cl H Hg
1 2 1 1
direct
0.000 0.000 0.500
0.000 0.500 0.000
0.500 0.000 0.000
0.500 0.500 0.500
0.000 0.000 0.000
```

Summary:
Energy above the most stable polymorph in this dataset in meV per atom: 371.9
Mass density in Mg/m³: 3.467

---

No. 8
DFT (PBE) results for crystalline Li3Ce2Au3 at its relaxed geometry.

Cell and atoms, written as POSCAR:
```
Li3Ce2Au3
1.0
-0.487 2.166 -2.245
-6.063 -4.315 -2.847
-1.317 5.511 5.601
Ce Au Li
2 3 3
direct
0.000 0.333 0.667
0.000 0.667 0.333
0.500 0.327 0.000
0.500 0.000 0.327
0.500 0.673 0.673
0.000 0.000 0.793
0.000 0.793 0.000
0.000 0.207 0.207
```

Summary:
Formation enthalpy at 0 K in kJ/mol of atoms: -36.80
Mass density in Mg/m³: 8.532